This record from the Alexandria database describes a relaxed Ca2GeAu crystal. The functional is PBE.

**Energy relative to the elements**: -0.341 eV/atom
**Space group**: I-42d (122)
**Calculated volume**: 27.2 A^3/atom
**Spin magnetization**: 0.00 μB per formula unit

```
Ca2GeAu
1.0
-2.670 -7.480 -0.963
3.818 -0.459 -7.016
3.341 -5.161 -2.406
Ca Au Ge
4 2 2
Direct
0.123 0.625 0.250
0.375 0.373 0.750
0.627 0.125 0.250
0.875 0.877 0.750
0.000 0.000 0.000
0.750 0.250 0.500
0.250 0.750 0.500
0.500 0.500 0.000
```